# CdIn8Pb2 (PBE, relaxed)
data_CdIn8Pb2
_chemical_formula_sum 'Cd1 In8 Pb2'
_space_group_name_H-M_alt 'P 1'
_space_group_IT_number 1
_space_group_name_Hall 'P 1'
_cell_length_a 8.950
_cell_length_b 8.950
_cell_length_c 7.133
_cell_angle_alpha 102.82
_cell_angle_beta 102.82
_cell_angle_gamma 33.25
loop_
_atom_site_label
_atom_site_fract_x
_atom_site_fract_y
_atom_site_fract_z
_atom_site_occupancy
Cd1 0.000 0.000 0.000 1
In1 0.088 0.088 0.441 1
In2 0.174 0.174 0.901 1
In3 0.362 0.362 0.832 1
In4 0.461 0.461 0.274 1
In5 0.539 0.539 0.726 1
In6 0.638 0.638 0.168 1
In7 0.826 0.826 0.099 1
In8 0.912 0.912 0.559 1
Pb1 0.276 0.276 0.362 1
Pb2 0.724 0.724 0.638 1
# Energy of formation from the pure elements = 0.022 eV/atom
# Total magnetization = 0.0 μB/f.u.
# ΔE to the lowest computed polymorph = 0 meV per atom